DFT (PBE) results for KRb2O4 after structural relaxation.

## Properties
formation energy from raw total energies = -0.93 eV/atom
magnetic moment = 2.044 μB per cell

a = 7.546 Å, b = 7.546 Å, c = 7.658 Å
α = 112.46°, β = 112.46°, γ = 98.76°
Fractional coordinates of all 14 atoms:
1 K 0.024 0.976 0.500
2 K 0.976 0.024 0.000
3 Rb 0.403 0.654 0.589
4 Rb 0.509 0.909 0.180
5 Rb 0.654 0.403 0.089
6 Rb 0.909 0.509 0.680
7 O 0.075 0.302 0.413
8 O 0.201 0.858 0.797
9 O 0.302 0.075 0.913
10 O 0.685 0.736 0.456
11 O 0.696 0.937 0.589
12 O 0.736 0.685 0.956
13 O 0.858 0.201 0.297
14 O 0.937 0.696 0.089

---

DFT (PBE) results for NdHoNi after structural relaxation.

## Properties
E_form = -0.195 eV/atom
distance to the lowest polymorph of the same formula = 5.7 kJ per mole of atoms
magnetic moment = 0.000 μB per cell

a = 3.447 Å, b = 6.727 Å, c = 6.995 Å
α = 105.47°, β = 90.03°, γ = 104.80°
Fractional coordinates of all 6 atoms:
1 Nd 0.129 0.257 0.064
2 Nd 0.871 0.743 0.936
3 Ho 0.131 0.262 0.565
4 Ho 0.869 0.738 0.435
5 Ni 0.497 0.994 0.282
6 Ni 0.503 0.006 0.718

---

DFT (PBE) results for SmGa7Ni5 after structural relaxation.

## Properties
E_form = -0.452 eV/atom
magnetic moment = 0.000 μB per cell

a = 6.595 Å, b = 6.595 Å, c = 6.595 Å
α = 134.61°, β = 97.27°, γ = 99.85°
Fractional coordinates of all 13 atoms:
1 Sm 0.000 0.000 0.000
2 Ga 0.211 0.509 0.703
3 Ga 0.324 0.980 0.344
4 Ga 0.339 0.339 0.000
5 Ga 0.636 0.980 0.656
6 Ga 0.644 0.644 0.000
7 Ga 0.763 0.263 0.500
8 Ga 0.806 0.509 0.297
9 Ni 0.229 0.729 0.500
10 Ni 0.507 0.000 0.013
11 Ni 0.507 0.494 0.507
12 Ni 0.987 0.000 0.493
13 Ni 0.987 0.494 0.987

---

Number 1: calculated total energy -4.199 eV per atom. Number 2: calculated total energy -5.237 eV per atom. Number 3: calculated total energy -4.668 eV per atom.